Compound: Mn2CdAgCl
Source: Alexandria via LeMat-Bulk
Functional: PBE
Structure: relaxed

Output
M_tot = 7.32 μB/f.u.
E_form (uncorrected) = 0.63 eV per atom
space-group type = P4/mmm
DOS at the Fermi energy = 0.6569 states/eV/atom

a = 4.425 Å, b = 5.258 Å, c = 4.425 Å
α = 90.00°, β = 90.00°, γ = 90.00°
Atoms (fractional coordinates):
1 Ag 0.000 0.500 0.000
2 Mn 0.500 0.000 0.000
3 Mn 0.000 0.000 0.500
4 Cl 0.000 0.000 0.000
5 Cd 0.500 0.500 0.500